{"formula": "ThSc5Os2", "functional": "PBE", "state": "optimized geometry", "total_energy_ev_per_atom": -7.905, "formation_enthalpy_0k_kj_per_mol_atoms": -20.52, "rho_g_cm3": 7.74, "vol_a3_per_atom": 22.45, "lattice_angstrom": [[3.9752, 0.0006, 0.9545], [1.7156, 6.5700, 1.6063], [0.4301, -0.0848, 6.9640]], "species": ["Th", "Sc", "Sc", "Sc", "Sc", "Sc", "Os", "Os"], "frac_coords": [[0.0000, 0.0000, 0.0000], [0.0000, 0.5000, 0.5000], [0.3381, 0.4830, 0.8409], [0.6619, 0.5170, 0.1591], [0.6619, 0.1591, 0.5170], [0.3381, 0.8409, 0.4830], [0.2793, 0.2207, 0.2207], [0.7207, 0.7793, 0.7793]]}